Material: SmLuInPt
Method: DFT, PBE
State: optimized geometry

It has space group F-43m (No. 216), with a = 7.260 Å, b = 7.260 Å, c = 7.260 Å, α = 90.00°, β = 90.00° and γ = 90.00°. Symmetry generates all atoms from Sm at (0.000, 0.000, 0.000), Lu at (0.000, 0.000, 0.500), In at (0.250, 0.250, 0.750) and Pt at (0.250, 0.250, 0.250).

Its crystal system is cubic. The calculation puts the energy of formation at -724 meV/atom.

=====

Material: SrLi2CuNi
Method: DFT, PBE
State: optimized geometry

It has space group P4/mmm (No. 123), with a = 4.611 Å, b = 4.611 Å, c = 4.768 Å, α = 90.00°, β = 90.00° and γ = 90.00°. Symmetry generates all atoms from Sr at (0.000, 0.000, 0.000), Li at (0.000, 0.500, 0.500), Cu at (0.500, 0.500, 0.500) and Ni at (0.500, 0.500, 0.000).

For the distance to the lowest polymorph of the same formula, the calculation gives 0.0199 eV per atom. Its crystal system is tetragonal. The calculation puts the energy of formation at 133 meV/atom.

=====

Material: LiVGe
Method: DFT, PBE
State: optimized geometry

It has space group P-1 (No. 2), with a = 3.030 Å, b = 4.101 Å, c = 7.418 Å, α = 90.01°, β = 90.04° and γ = 90.42°. Symmetry generates all atoms from Li at (0.249, 0.250, 0.118), V at (0.250, 0.750, 0.535) and Ge at (0.251, 0.250, 0.753).

Its crystal system is triclinic. The calculation puts the energy of formation at -172 meV/atom.

=====

Material: NaCaIn2Ni
Method: DFT, PBE
State: optimized geometry

It has space group P4/mmm (No. 123), with a = 5.048 Å, b = 5.048 Å, c = 5.230 Å, α = 90.00°, β = 90.00° and γ = 90.00°. Symmetry generates all atoms from Na at (0.000, 0.000, 0.000), Ca at (0.500, 0.500, 0.000), In at (0.000, 0.500, 0.500) and Ni at (0.500, 0.500, 0.500).

For the distance to the lowest polymorph of the same formula, the calculation gives 0.0000 eV per atom. Its crystal system is tetragonal. The calculation puts the energy of formation at -167 meV/atom.

=====

Material: SnHOs
Method: DFT, PBE
State: optimized geometry

It has space group Pm (No. 6), with a = 4.303 Å, b = 3.064 Å, c = 6.578 Å, α = 90.00°, β = 105.44° and γ = 90.00°. Symmetry generates all atoms from Sn at (0.000, 0.000, 0.000), Sn at (0.178, 0.500, 0.480), H at (0.470, 0.500, 0.931), H at (0.536, 0.000, 0.750), Os at (0.572, 0.500, 0.188) and Os at (0.707, 0.000, 0.558).

For the distance to the lowest polymorph of the same formula, the calculation gives 0.0271 eV per atom. Its crystal system is monoclinic.

=====

Material: Tb5Ho5Tm
Method: DFT, PBE
State: optimized geometry

It has space group P-6m2 (No. 187), with a = 6.0209 Å, b = 6.0209 Å, c = 11.4920 Å, α = 90.00°, β = 90.00° and γ = 120.00°. Symmetry generates all atoms from Tb at (0.0000, 0.0000, 0.0000), Tb at (0.3333, 0.6667, 0.3160), Tb at (0.6667, 0.3333, 0.1552), Ho at (0.0000, 0.0000, 0.2646), Ho at (0.3355, 0.1677, 0.5000) and Tm at (0.3333, 0.6667, 0.0000).

For the distance to the lowest polymorph of the same formula, the calculation gives 0.1788 eV per atom. Its crystal system is hexagonal. The calculation puts the energy of formation at 329 meV/atom.

=====

Material: Pm5ThAl6
Method: DFT, PBE
State: optimized geometry

It has space group C2/m (No. 12), with a = 16.562 Å, b = 7.405 Å, c = 5.239 Å, α = 90.00°, β = 108.30° and γ = 90.00°. Symmetry generates all atoms from Pm at (0.000, 0.000, 0.000), Pm at (0.162, 0.500, 0.662), Pm at (0.170, 0.000, 0.670), Th at (0.000, 0.500, 0.000), Al at (0.000, 0.240, 0.500) and Al at (0.168, 0.245, 0.168).

Its crystal system is monoclinic. The calculation puts the energy of formation at -334 meV/atom.

=====

Material: ReAgBiCl2
Method: DFT, PBE
State: optimized geometry

It has space group P4/mmm (No. 123), with a = 4.717 Å, b = 4.717 Å, c = 6.196 Å, α = 90.00°, β = 90.00° and γ = 90.00°. Symmetry generates all atoms from Re at (0.000, 0.000, 0.000), Ag at (0.000, 0.000, 0.500), Bi at (0.500, 0.500, 0.000) and Cl at (0.000, 0.500, 0.500).

Its crystal system is tetragonal. The uncorrected formation energy comes out at 97.91 kJ/mol of atoms.

=====

Material: AlTlV2Ga
Method: DFT, PBE
State: optimized geometry

It has space group P4/mmm (No. 123), with a = 4.735 Å, b = 4.735 Å, c = 4.569 Å, α = 90.00°, β = 90.00° and γ = 90.00°. Symmetry generates all atoms from Al at (0.000, 0.000, 0.000), Tl at (0.500, 0.500, 0.000), V at (0.000, 0.500, 0.500) and Ga at (0.000, 0.000, 0.500).

Its crystal system is tetragonal. The calculation puts the energy of formation at 837 meV/atom.

=====

Material: Mn3AgSe
Method: DFT, PBE
State: optimized geometry

It has space group Pm-3m (No. 221), with a = 4.902 Å, b = 4.902 Å, c = 4.902 Å, α = 90.00°, β = 90.00° and γ = 90.00°. Symmetry generates all atoms from Mn at (0.000, 0.000, 0.500), Ag at (0.000, 0.000, 0.000) and Se at (0.500, 0.500, 0.500).

For the distance to the lowest polymorph of the same formula, the calculation gives 0.4507 eV per atom. Its crystal system is cubic. The uncorrected formation energy comes out at 96.11 kJ/mol of atoms.

=====

Material: LaPm4Ni2
Method: DFT, PBE
State: optimized geometry

It has space group P2_1/m (No. 11), with a = 6.933 Å, b = 6.848 Å, c = 9.049 Å, α = 90.00°, β = 111.97° and γ = 90.00°. Symmetry generates all atoms from La at (0.238, 0.250, 0.200), Pm at (0.036, 0.250, 0.794), Pm at (0.279, 0.501, 0.560), Pm at (0.331, 0.750, 0.000), Ni at (0.035, 0.750, 0.666) and Ni at (0.378, 0.750, 0.337).

Its crystal system is monoclinic. The calculation puts the energy of formation at -148 meV/atom.

=====

Material: Li2DyWN4
Method: DFT, PBE
State: optimized geometry

It has space group I-42m (No. 121), with a = 5.338 Å, b = 5.338 Å, c = 6.730 Å, α = 90.00°, β = 90.00° and γ = 90.00°. Symmetry generates all atoms from Li at (0.000, 0.500, 0.250), Dy at (0.000, 0.000, 0.000), W at (0.000, 0.000, 0.500) and N at (0.210, 0.210, 0.651).

Its crystal system is tetragonal. The uncorrected formation energy comes out at -69.57 kJ/mol of atoms.